# CdSeSCl2 | the Alexandria database | GGA-PBE | optimized geometry
# raw formation energy: 100 meV/atom
# calculated volume: 125 Å³/f.u.
# polymorph energy (0 for the lowest one): 0.0 meV/atom
# spin magnetization: 0.00 μB per cell
# SG: P4/mmm, No. 123
# D(E_F): 3.3 states/eV per cell
data_CdSeSCl2
_symmetry_space_group_name_H-M 'P 1'
_symmetry_Int_Tables_number 1
_cell_length_a 5.0124
_cell_length_b 5.0124
_cell_length_c 4.9819
_cell_angle_alpha 90.00
_cell_angle_beta 90.00
_cell_angle_gamma 90.00
loop_
_symmetry_equiv_pos_as_xyz
'x,y,z'
loop_
_atom_site_label
_atom_site_type_symbol
_atom_site_fract_x
_atom_site_fract_y
_atom_site_fract_z
_atom_site_occupancy
Se1 Se 0.0000 0.0000 0.0000 1
S1 S 0.0000 0.0000 0.5000 1
Cd1 Cd 0.5000 0.5000 0.5000 1
Cl1 Cl 0.0000 0.5000 0.0000 1
Cl2 Cl 0.5000 0.0000 0.0000 1